Entry 1:
Pr8AgTe4As3 after structural relaxation, computed with GGA-PBE.

Cell lengths 8.8253, 8.9159, 8.8257 Å; angles 119.67, 120.00, 90.00 degrees
Element x y z (fractional)
Te: 0.0000 0.0000 0.5000
Te: 0.5000 0.0000 0.5000
Te: 0.0000 0.0000 0.0000
Te: 0.5000 0.0000 0.0000
Pr: 0.2655 0.2693 0.0174
Pr: 0.7345 0.7307 0.9826
Pr: 0.2601 0.2801 0.5201
Pr: 0.7519 0.2693 0.0174
Pr: 0.7399 0.7199 0.4799
Pr: 0.7519 0.2693 0.5037
Pr: 0.2481 0.7307 0.4963
Pr: 0.2481 0.7307 0.9826
Ag: 0.0000 0.5000 0.0000
As: 0.5000 0.5000 0.5000
As: 0.5000 0.5000 0.0000
As: 0.0000 0.5000 0.5000

Summary:
Raw formation energy ... -1343 meV per atom
E_tot ... -5.5681 eV per atom
Space group ... R-3m
Fermi-level density of states ... 0.626 states/eV per atom

Entry 2:
AgAsPt after structural relaxation, computed with GGA-PBE.

Cell lengths 5.9260, 6.3065, 6.4924 Å; angles 90.00, 98.58, 90.00 degrees
Element x y z (fractional)
As: 0.1677 0.5942 0.4306
As: 0.3323 0.0942 0.0694
As: 0.6677 0.9058 0.9306
As: 0.8323 0.4058 0.5694
Ag: 0.2429 0.5254 0.9443
Ag: 0.2571 0.0254 0.5557
Ag: 0.7429 0.9746 0.4443
Ag: 0.7571 0.4746 0.0557
Pt: 0.9636 0.1491 0.8398
Pt: 0.0364 0.8509 0.1602
Pt: 0.5364 0.6491 0.6602
Pt: 0.4636 0.3509 0.3398

Summary:
E_tot ... -4.6153 eV per atom
Energy above the lowest structure with this stoichiometry ... 0.0000 eV per atom
Space group ... P2_1/c
Fermi-level density of states ... 0.272 states/eV per atom

Entry 3:
AgAs2Pt2 after structural relaxation, computed with GGA-PBE.

Cell lengths 4.3568, 4.3568, 6.0675 Å; angles 68.96, 68.96, 90.00 degrees
Element x y z (fractional)
Ag: 0.0000 0.0000 0.0000
As: 0.7500 0.2500 0.5000
As: 0.2500 0.7500 0.5000
Pt: 0.3727 0.3727 0.2547
Pt: 0.6273 0.6273 0.7453

Summary:
E_tot ... -4.8111 eV per atom
Energy above the lowest structure with this stoichiometry ... 0.0809 eV per atom
Space group ... I4/mmm
Fermi-level density of states ... 0.530 states/eV per atom

Entry 4:
AgAsPt after structural relaxation, computed with GGA-PBE.

Cell lengths 5.2549, 5.2550, 3.4136 Å; angles 71.04, 71.05, 37.91 degrees
Element x y z (fractional)
As: 0.2968 0.2968 0.7032
Pt: 0.6978 0.6978 0.3022
Ag: 0.0054 0.0054 0.9946

Summary:
E_tot ... -4.5909 eV per atom
Energy above the lowest structure with this stoichiometry ... 0.0244 eV per atom
Space group ... I4mm
Fermi-level density of states ... 0.134 states/eV per atom

Entry 5:
AgAs2Pt2 after structural relaxation, computed with GGA-PBE.

Cell lengths 4.5778, 4.5778, 5.5941 Å; angles 65.85, 65.85, 90.00 degrees
Element x y z (fractional)
As: 0.6366 0.6366 0.7267
As: 0.3634 0.3634 0.2733
Pt: 0.2500 0.7500 0.5000
Pt: 0.7500 0.2500 0.5000
Ag: 0.0000 0.0000 0.0000

Summary:
E_tot ... -4.8845 eV per atom
Energy above the lowest structure with this stoichiometry ... 0.0075 eV per atom
Space group ... I4/mmm
Fermi-level density of states ... 0.392 states/eV per atom

Entry 6:
Ag2AsPt2 after structural relaxation, computed with GGA-PBE.

Cell lengths 3.6855, 3.6855, 7.5423 Å; angles 75.86, 75.86, 90.00 degrees
Element x y z (fractional)
Pt: 0.7500 0.2500 0.5000
Pt: 0.2500 0.7500 0.5000
Ag: 0.5979 0.5979 0.8042
Ag: 0.4021 0.4021 0.1958
As: 0.0000 0.0000 0.0000

Summary:
E_tot ... -4.1028 eV per atom
Energy above the lowest structure with this stoichiometry ... 0.3779 eV per atom
Space group ... I4/mmm
Fermi-level density of states ... 0.838 states/eV per atom

- What is the formula in the third record?
  AgAs2Pt2

- Among the records above, which one has the highest E_tot?
  Ag2AsPt2

- Look up the Fermi-level density of states of the second one.
  0.272 states/eV per atom